DFT (PBE-GGA) results for crystalline La2Al9Pt3 at its relaxed geometry.

Calculated values
DFT total energy, eV/atom: -5.244
M_tot, μB/f.u.: 0.00
Space group: C2/c, No. 15
ΔH_f (0 K), eV/atom: -0.84
N(E_F), states/eV/atom: 0.417

POSCAR file:
```
La2Al9Pt3
1.0
1.646 -3.450 -6.744
-0.249 -4.155 6.540
-10.444 1.991 0.912
Al Pt La
18 6 4
Cartesian
0.868 -2.965 -5.708
-6.427 -2.026 -4.399
-9.111 -2.408 2.004
-1.764 -1.683 -2.852
-0.550 -3.479 3.170
-2.126 -1.822 -0.138
-8.497 -2.135 -2.463
-5.740 -1.802 2.497
-7.283 -3.931 3.560
-3.307 -3.812 -1.789
0.064 -3.206 -1.296
-2.620 -3.588 5.107
-4.722 -5.447 0.221
-4.944 -1.513 -1.914
-4.325 -0.167 0.487
-6.921 -3.792 0.846
-9.915 -2.649 6.415
-4.103 -4.101 2.621
-3.880 -2.609 -4.088
0.193 -1.999 1.068
0.823 -1.725 -3.372
-9.240 -3.615 -0.360
-5.167 -3.005 4.796
-4.524 -2.807 0.354
-7.343 -0.689 0.044
-6.338 -4.377 -2.218
-2.709 -1.237 2.926
-1.704 -4.926 0.664
```